# La4GaSn2 GGA-PBE relaxed
# * total magnetization: 0.0 μB/f.u.
# * ΔH_f (0 K): -0.36 eV per atom
data_La4GaSn2
_cell_length_a 5.4927
_cell_length_b 5.4927
_cell_length_c 17.1130
_cell_angle_alpha 90.00
_cell_angle_beta 90.00
_cell_angle_gamma 90.00
_symmetry_space_group_name_H-M 'I 4/m m m'
_symmetry_Int_Tables_number 139
_symmetry_space_group_name_Hall '-I 4 2'
loop_
_atom_site_label
_atom_site_type_symbol
_atom_site_fract_x
_atom_site_fract_y
_atom_site_fract_z
_atom_site_occupancy
La1 La 0.0000 0.0000 0.1799 1
La2 La 0.0000 0.5000 0.0000 1
Ga1 Ga 0.0000 0.0000 0.0000 1
Sn1 Sn 0.0000 0.0000 0.3692 1